[1]
# NbTc3Se, relaxed, DFT PBE
data_NbTc3Se
_chemical_formula_sum 'Nb1 Tc3 Se1'
_cell_length_a 4.4867
_cell_length_b 4.4867
_cell_length_c 4.4867
_cell_angle_alpha 90.00
_cell_angle_beta 90.00
_cell_angle_gamma 90.00
_space_group_name_H-M_alt 'P 1'
_space_group_IT_number 1
loop_
_space_group_symop_operation_xyz
'x,y,z'
loop_
_atom_site_label
_atom_site_type_symbol
_atom_site_fract_x
_atom_site_fract_y
_atom_site_fract_z
Nb1 Nb 0.0000 0.0000 0.0000
Tc1 Tc 0.0000 0.5000 0.5000
Tc2 Tc 0.5000 0.0000 0.5000
Tc3 Tc 0.5000 0.5000 0.0000
Se1 Se 0.5000 0.5000 0.5000
# mass density = 8.56 g cm⁻³
# total energy = -7.9970 eV/atom
# symmetry = Pm-3m (221)
# formation energy without anion corrections = 0.933 eV per atom

***

[2]
# Nb2TcSe5, relaxed, DFT PBE
data_Nb2TcSe5
_chemical_formula_sum 'Nb4 Tc2 Se10'
_cell_length_a 6.9774
_cell_length_b 6.9774
_cell_length_c 11.5207
_cell_angle_alpha 90.00
_cell_angle_beta 90.00
_cell_angle_gamma 137.66
_space_group_name_H-M_alt 'P 1'
_space_group_IT_number 1
loop_
_space_group_symop_operation_xyz
'x,y,z'
loop_
_atom_site_label
_atom_site_type_symbol
_atom_site_fract_x
_atom_site_fract_y
_atom_site_fract_z
Nb1 Nb 0.1768 0.8232 0.5290
Nb2 Nb 0.1768 0.8232 0.9710
Nb3 Nb 0.8232 0.1768 0.0290
Nb4 Nb 0.8232 0.1768 0.4710
Tc1 Tc 0.1922 0.8078 0.2500
Tc2 Tc 0.8078 0.1922 0.7500
Se1 Se 0.0431 0.9569 0.1172
Se2 Se 0.0431 0.9569 0.3828
Se3 Se 0.2552 0.7448 0.7500
Se4 Se 0.3400 0.6600 0.0957
Se5 Se 0.3400 0.6600 0.4043
Se6 Se 0.6600 0.3400 0.5957
Se7 Se 0.6600 0.3400 0.9043
Se8 Se 0.7448 0.2552 0.2500
Se9 Se 0.9569 0.0431 0.6172
Se10 Se 0.9569 0.0431 0.8828
# mass density = 5.97 g cm⁻³
# total energy = -6.4437 eV/atom
# symmetry = Cmcm (63)
# formation energy without anion corrections = -0.453 eV per atom

***

Repeat the second record exactly.
# Nb2TcSe5, relaxed, DFT PBE
data_Nb2TcSe5
_chemical_formula_sum 'Nb4 Tc2 Se10'
_cell_length_a 6.9774
_cell_length_b 6.9774
_cell_length_c 11.5207
_cell_angle_alpha 90.00
_cell_angle_beta 90.00
_cell_angle_gamma 137.66
_space_group_name_H-M_alt 'P 1'
_space_group_IT_number 1
loop_
_space_group_symop_operation_xyz
'x,y,z'
loop_
_atom_site_label
_atom_site_type_symbol
_atom_site_fract_x
_atom_site_fract_y
_atom_site_fract_z
Nb1 Nb 0.1768 0.8232 0.5290
Nb2 Nb 0.1768 0.8232 0.9710
Nb3 Nb 0.8232 0.1768 0.0290
Nb4 Nb 0.8232 0.1768 0.4710
Tc1 Tc 0.1922 0.8078 0.2500
Tc2 Tc 0.8078 0.1922 0.7500
Se1 Se 0.0431 0.9569 0.1172
Se2 Se 0.0431 0.9569 0.3828
Se3 Se 0.2552 0.7448 0.7500
Se4 Se 0.3400 0.6600 0.0957
Se5 Se 0.3400 0.6600 0.4043
Se6 Se 0.6600 0.3400 0.5957
Se7 Se 0.6600 0.3400 0.9043
Se8 Se 0.7448 0.2552 0.2500
Se9 Se 0.9569 0.0431 0.6172
Se10 Se 0.9569 0.0431 0.8828
# mass density = 5.97 g cm⁻³
# total energy = -6.4437 eV/atom
# symmetry = Cmcm (63)
# formation energy without anion corrections = -0.453 eV per atom